# 1
RbAg2Br, optimized geometry, DFT PBE; space group = Fm-3m; relative energy among the computed polymorphs = 351 meV per atom; formation energy (no corrections) = 0.164 eV per atom
1.0
0.000 3.929 3.929
3.929 0.000 3.929
3.929 3.929 0.000
Rb Ag Br
1 2 1
Cartesian
0.000 0.000 0.000
1.964 1.964 1.964
5.893 5.893 5.893
3.929 3.929 3.929


# 2
Na2ErBiS4, optimized geometry, DFT PBE; space group = P2/m; formation energy (no corrections) = -1.300 eV per atom
1.0
6.985 0.000 0.000
0.000 4.007 0.000
-2.310 0.000 6.723
Na Er Bi S
2 1 1 4
Cartesian
0.000 0.000 0.000
3.493 2.004 0.000
-1.155 2.004 3.361
2.337 0.000 3.361
-0.045 0.000 4.883
1.100 2.004 1.793
3.575 2.004 4.929
4.720 0.000 1.839


# 3
TaPb5, optimized geometry, DFT PBE; space group = Amm2; relative energy among the computed polymorphs = 70 meV per atom; calculated formation energy = 375 meV per atom
1.0
5.480 0.000 0.000
0.000 1.628 9.424
0.000 -1.628 9.424
Ta Pb
1 5
Cartesian
0.000 0.000 0.000
0.000 0.000 6.540
0.000 0.000 12.164
2.740 0.000 1.749
2.740 0.000 8.325
2.740 0.000 14.416


# 4
HfNbAg, optimized geometry, DFT PBE; space group = Fmmm; relative energy among the computed polymorphs = 354 meV per atom; calculated formation energy = 267 meV per atom
1.0
0.000 4.687 4.811
2.624 0.000 4.811
2.624 4.687 0.000
Hf Nb Ag
2 2 2
Cartesian
2.624 4.687 1.468
2.624 4.687 8.153
2.624 3.377 4.811
2.624 5.996 4.811
1.312 2.343 2.405
3.937 7.030 7.216


# 5
BaNdPt10, optimized geometry, DFT PBE; space group = Pmmm; calculated formation energy = -610 meV per atom
1.0
4.398 0.000 0.000
0.000 5.535 0.000
0.000 0.000 9.548
Ba Nd Pt
1 1 10
Cartesian
0.000 0.000 0.000
0.000 2.768 4.774
0.000 0.000 3.238
0.000 0.000 6.310
0.000 2.768 1.666
0.000 2.768 7.882
2.199 0.000 4.774
2.199 1.405 2.459
2.199 1.405 7.089
2.199 2.768 0.000
2.199 4.130 2.459
2.199 4.130 7.089


# 6
LaNdOs4, optimized geometry, DFT PBE; space group = F-43m; calculated formation energy = -51 meV per atom
1.0
0.000 3.863 3.863
3.863 0.000 3.863
3.863 3.863 0.000
La Nd Os
1 1 4
Cartesian
0.000 0.000 0.000
5.795 5.795 5.795
2.899 2.899 2.899
4.828 4.828 2.899
4.828 2.899 4.828
2.899 4.828 4.828


# 7
GdTmN, optimized geometry, DFT PBE; space group = I4mm; relative energy among the computed polymorphs = 588 meV per atom; formation energy (no corrections) = -0.465 eV per atom
1.0
-1.550 1.550 6.036
1.550 -1.550 6.036
1.550 1.550 -6.036
Gd Tm N
1 1 1
Cartesian
0.000 0.000 0.000
0.000 0.000 2.873
0.000 0.000 7.868


# 8
Ac3Zn2Pb2, optimized geometry, DFT PBE; space group = C2/m; calculated formation energy = -428 meV per atom
1.0
6.121 -2.368 0.000
6.121 2.368 0.000
-3.391 0.000 7.875
Ac Zn Pb
3 2 2
Cartesian
0.000 0.000 0.000
-0.077 0.000 5.089
8.927 0.000 2.786
3.516 0.000 0.409
5.334 0.000 7.466
3.340 0.000 5.327
5.510 0.000 2.548


# 9
TaMnAg2S4, optimized geometry, DFT PBE; space group = Pmn2_1; formation energy (no corrections) = -0.445 eV per atom
1.0
7.636 0.000 0.000
0.000 6.653 0.000
0.000 0.000 6.747
Ta Mn Ag S
2 2 4 8
Cartesian
0.000 1.093 0.000
3.818 5.561 3.374
0.000 5.926 2.763
3.818 0.727 6.137
1.538 1.910 2.665
2.280 4.743 6.039
5.356 4.743 6.039
6.098 1.910 2.665
0.000 0.885 4.446
0.000 5.460 0.499
1.778 4.439 3.617
2.040 2.214 0.243
3.818 1.193 3.873
3.818 5.768 1.072
5.596 2.214 0.243
5.858 4.439 3.617


# 10
Ce5BiSb4, optimized geometry, DFT PBE; space group = I4/m; relative energy among the computed polymorphs = 2 meV per atom; formation energy (no corrections) = -0.989 eV per atom
1.0
-5.053 5.053 3.198
5.053 -5.053 3.198
5.053 5.053 -3.198
Ce Bi Sb
5 1 4
Cartesian
0.000 0.000 0.000
6.072 1.981 0.000
1.981 4.035 0.000
3.073 1.018 3.198
-1.018 3.073 3.198
0.000 0.000 3.198
3.024 1.025 0.000
4.029 -2.030 3.198
1.025 7.083 0.000
2.030 4.029 3.198


# 11
MgCo2AgN, optimized geometry, DFT PBE; space group = P4/mmm; formation energy (no corrections) = -0.053 eV per atom
1.0
3.751 0.000 0.000
0.000 3.751 0.000
0.000 0.000 4.326
Mg Co Ag N
1 2 1 1
Cartesian
0.000 0.000 0.000
0.000 1.876 2.163
1.876 0.000 2.163
1.876 1.876 0.000
0.000 0.000 2.163


# 12
NaTbAu4, optimized geometry, DFT PBE; space group = F-43m; relative energy among the computed polymorphs = 76 meV per atom; calculated formation energy = -441 meV per atom
1.0
0.000 3.968 3.968
3.968 0.000 3.968
3.968 3.968 0.000
Na Tb Au
1 1 4
Cartesian
0.000 0.000 0.000
5.951 5.951 5.951
2.972 2.972 2.972
4.963 4.963 2.972
4.963 2.972 4.963
2.972 4.963 4.963


# 13
LaGa2Mo, optimized geometry, DFT PBE; space group = I-42d; relative energy among the computed polymorphs = 206 meV per atom; calculated formation energy = 204 meV per atom
1.0
-2.359 2.359 9.009
2.359 -2.359 9.009
2.359 2.359 -9.009
La Ga Mo
2 4 2
Cartesian
0.000 0.000 0.000
0.000 2.359 4.504
1.179 -0.388 6.757
1.971 1.179 2.252
1.179 2.747 -2.252
0.388 1.179 11.261
2.359 0.000 4.504
0.000 0.000 9.009


# 14
HgTeBr3, optimized geometry, DFT PBE; space group = P2_1/c; relative energy among the computed polymorphs = 93 meV per atom; formation energy (no corrections) = -0.243 eV per atom
1.0
9.428 0.000 0.000
0.000 8.543 0.000
-4.603 0.000 10.864
Hg Te Br
4 4 12
Cartesian
0.033 1.650 1.414
-2.269 2.622 6.846
7.093 5.922 4.018
4.792 6.893 9.451
3.504 4.538 0.270
1.203 8.277 5.702
3.622 0.266 5.163
1.320 4.006 10.595
-1.023 0.399 3.906
-3.324 3.873 9.338
-0.474 5.154 5.522
1.827 7.661 0.089
-0.113 1.757 7.834
2.189 2.514 2.402
2.636 6.029 8.462
4.937 6.786 3.030
2.997 0.882 10.775
5.299 3.390 5.343
8.149 4.671 1.526
5.847 8.145 6.959


# 15
AcPmRh2, optimized geometry, DFT PBE; space group = Fm-3m; relative energy among the computed polymorphs = 96 meV per atom; calculated formation energy = -584 meV per atom
1.0
0.000 3.617 3.617
3.617 0.000 3.617
3.617 3.617 0.000
Ac Pm Rh
1 1 2
Cartesian
0.000 0.000 0.000
3.617 3.617 3.617
1.809 1.809 1.809
5.426 5.426 5.426


# 16
Sc2FeW2, optimized geometry, DFT PBE; space group = I4/mmm; relative energy among the computed polymorphs = 1003 meV per atom; calculated formation energy = 1303 meV per atom
1.0
-1.800 1.800 7.011
1.800 -1.800 7.011
1.800 1.800 -7.011
Sc Fe W
2 1 2
Cartesian
1.800 0.000 3.506
0.000 1.800 3.506
0.000 0.000 0.000
0.000 0.000 5.857
0.000 0.000 8.165


# 17
SrHoMg2In2, optimized geometry, DFT PBE; space group = P-3m1; calculated formation energy = -339 meV per atom
1.0
5.018 0.000 0.000
-2.509 4.345 0.000
0.000 0.000 7.809
Sr Ho Mg In
1 1 2 2
Cartesian
0.000 0.000 0.000
0.000 0.000 3.904
0.000 2.897 5.494
2.509 1.448 2.315
0.000 2.897 2.246
2.509 1.448 5.562


# 18
Pr2Mg9Ag6, optimized geometry, DFT PBE; space group = P6/mmm; calculated formation energy = -89 meV per atom
1.0
5.922 0.000 0.000
-2.961 5.128 0.000
0.000 0.000 13.685
Pr Mg Ag
2 9 6
Cartesian
0.000 0.000 2.098
0.000 0.000 11.587
-1.480 2.564 0.000
-1.480 2.564 4.604
-1.480 2.564 9.081
2.961 0.000 0.000
2.961 0.000 4.604
2.961 0.000 9.081
1.480 2.564 0.000
1.480 2.564 4.604
1.480 2.564 9.081
0.000 3.419 2.328
0.000 3.419 6.843
0.000 3.419 11.358
2.961 1.709 2.328
2.961 1.709 6.843
2.961 1.709 11.358


# 19
Rb2Ag2F5, optimized geometry, DFT PBE; space group = P4/mmm; formation energy (no corrections) = -1.856 eV per atom
1.0
4.435 0.000 0.000
0.000 4.435 0.000
0.000 0.000 8.859
Rb Ag F
2 2 5
Cartesian
0.000 0.000 0.000
0.000 0.000 4.430
2.218 2.218 2.057
2.218 2.218 6.803
0.000 2.218 1.860
0.000 2.218 6.999
2.218 0.000 1.860
2.218 0.000 6.999
2.218 2.218 4.430


# 20
Li2ScPbSe4, optimized geometry, DFT PBE; space group = P2/m; formation energy (no corrections) = -1.093 eV per atom
1.0
6.931 0.000 0.000
0.000 3.961 0.000
-2.478 0.000 6.577
Li Sc Pb Se
2 1 1 4
Cartesian
0.000 0.000 0.000
-1.239 1.980 3.289
2.226 0.000 3.289
3.466 1.980 0.000
-0.117 0.000 4.734
1.102 1.980 1.732
3.351 1.980 4.845
4.569 0.000 1.843